Computed, not measured: a geometry-optimized Dy12Th2Sc structure at the GGA-PBE level of DFT.

Unit cell a=6.3969 b=6.3969 c=25.5844 alpha=91.65 beta=91.65 gamma=114.89
Last column: nearest neighbours and their distance in Å.
Atoms (fractional coordinates):
Dy 0.0087 0.3996 0.6704  2 Th 3.39-3.46, 6 Dy 3.42-3.64
Dy 0.0311 0.5553 0.1963  5 Dy 3.22-3.45, 4 Th 3.43-3.59
Dy 0.1117 0.7011 0.5585  9 Dy 3.32-3.57
Dy 0.2272 0.2272 0.8799  1 Sc 3.18, 8 Dy 3.22-3.47
Dy 0.2375 0.7371 0.9324  9 Dy 3.44-3.73, 4 Sc 3.58-3.69
Dy 0.2629 0.7625 0.0676  9 Dy 3.44-3.73, 4 Sc 3.58-3.69
Dy 0.2722 0.2722 0.1312  1 Sc 3.24, 8 Dy 3.28-3.60, 2 Th 3.44-3.53
Dy 0.2771 0.2771 0.5299  8 Dy 3.36-3.50
Dy 0.2989 0.8883 0.4415  9 Dy 3.32-3.57
Dy 0.3616 0.3616 0.3721  5 Dy 3.43-3.48, 2 Th 3.44-3.55
Dy 0.3996 0.0087 0.6704  2 Th 3.39-3.46, 6 Dy 3.42-3.64
Dy 0.4447 0.9689 0.8037  5 Dy 3.22-3.45, 4 Th 3.43-3.59
Dy 0.5553 0.0311 0.1963  5 Dy 3.22-3.45, 4 Th 3.43-3.59
Dy 0.6004 0.9913 0.3296  2 Th 3.39-3.46, 6 Dy 3.42-3.64
Dy 0.6384 0.6384 0.6279  5 Dy 3.43-3.48, 2 Th 3.44-3.55
Dy 0.7011 0.1117 0.5585  9 Dy 3.32-3.57
Dy 0.7229 0.7229 0.4701  8 Dy 3.36-3.50
Dy 0.7278 0.7278 0.8688  1 Sc 3.24, 8 Dy 3.28-3.60, 2 Th 3.44-3.53
Dy 0.7371 0.2375 0.9324  9 Dy 3.44-3.73, 4 Sc 3.58-3.69
Dy 0.7625 0.2629 0.0676  9 Dy 3.44-3.73, 4 Sc 3.58-3.69
Dy 0.7728 0.7728 0.1201  1 Sc 3.18, 8 Dy 3.22-3.47
Dy 0.8883 0.2989 0.4415  9 Dy 3.32-3.57
Dy 0.9689 0.4447 0.8037  5 Dy 3.22-3.45, 4 Th 3.43-3.59
Dy 0.9913 0.6004 0.3296  2 Th 3.39-3.46, 6 Dy 3.42-3.64
Th 0.0648 0.0648 0.2544  2 Th 3.27-3.63, 8 Dy 3.46-3.59
Th 0.4625 0.4625 0.7511  2 Th 3.27-3.63, 8 Dy 3.39-3.52
Th 0.5375 0.5375 0.2489  2 Th 3.27-3.63, 8 Dy 3.39-3.52
Th 0.9352 0.9352 0.7456  2 Th 3.27-3.63, 8 Dy 3.46-3.59
Sc 0.2503 0.2503 0.0046  2 Dy 3.18-3.24, 2 Sc 3.44-3.46
Sc 0.7497 0.7497 0.9954  2 Dy 3.18-3.24, 2 Sc 3.44-3.46

* calculated volume: 31.61 Å³/atom
* symmetry: C2/m

---

Computed, not measured: a geometry-optimized NdIn3Ag2 structure at the GGA-PBE level of DFT.

Unit cell a=8.9563 b=8.9563 c=7.4321 alpha=108.78 beta=108.78 gamma=30.85
Last column: nearest neighbours and their distance in Å.
Atoms (fractional coordinates):
Nd 0.1154 0.1154 0.1872  7 Ag 3.29-3.53, 6 In 3.30-3.59
Nd 0.8846 0.8846 0.8128  7 Ag 3.29-3.53, 6 In 3.30-3.59
In 0.0689 0.0689 0.6901  3 Ag 2.86-3.01, 3 In 3.03-3.12
In 0.3049 0.3049 0.0525  2 Ag 2.87-2.88, 3 In 2.98-3.10
In 0.3686 0.3686 0.4954  4 Ag 2.86-2.95, 3 In 3.10-3.12
In 0.6314 0.6314 0.5046  4 Ag 2.86-2.95, 3 In 3.10-3.12
In 0.6951 0.6951 0.9475  2 Ag 2.87-2.88, 3 In 2.98-3.10
In 0.9311 0.9311 0.3099  3 Ag 2.86-3.01, 3 In 3.03-3.12
Ag 0.2352 0.2352 0.6423  5 In 2.86-3.01
Ag 0.4812 0.4812 0.1663  1 Ag 2.76, 4 In 2.86-2.95
Ag 0.5188 0.5188 0.8337  1 Ag 2.76, 4 In 2.86-2.95
Ag 0.7648 0.7648 0.3577  5 In 2.86-3.01

* calculated volume: 24.01 Å³/atom
* symmetry: C2/m
* energy above the most stable polymorph in this dataset: 10 meV per atom

---

Computed, not measured: a geometry-optimized SrMgIr structure at the GGA-PBE level of DFT.

Unit cell a=4.9097 b=4.9097 c=4.9097 alpha=60.00 beta=60.00 gamma=60.00
Last column: nearest neighbours and their distance in Å.
Atoms (fractional coordinates):
Sr 0.0000 0.0000 0.0000  4 Mg 3.01, 4 Ir 3.01
Mg 0.7500 0.7500 0.7500  4 Sr 3.01
Ir 0.2500 0.2500 0.2500  4 Sr 3.01

* calculated volume: 27.89 Å³/atom
* symmetry: F-43m

---

Size of the total moment across the listed records, respectively: 0.00, 0.00, 0.00 μB/f.u..
ΔH_f (0 K) across the listed records, respectively: 0.11, -0.24, 0.79 eV/atom.